(1)
AsPPbS2 | meta-GGA SCAN | PBEsol geometry

Summary:
The uncorrected formation energy comes out at 0.348 eV/atom. The value obtained for the calculated total energy is -24.7777 eV/atom.

Cell and atoms, written as POSCAR:
```
AsPPbS2
1.0
4.7896 0.0000 0.0000
0.0000 4.7896 0.0000
0.0000 0.0000 4.6785
As P Pb S
1 1 1 2
direct
0.0000 0.0000 0.0000
0.0000 0.0000 0.5000
0.5000 0.5000 0.5000
0.0000 0.5000 0.0000
0.5000 0.0000 0.0000
```



(2)
AsP3Pd | meta-GGA SCAN | PBEsol geometry

Summary:
The formation energy is 6.2 eV per formula unit. The value obtained for the calculated total energy is -15.5917 eV/atom.

Cell and atoms, written as POSCAR:
```
AsP3Pd
1.0
4.5688 0.0000 0.0000
0.0000 4.5688 0.0000
0.0000 0.0000 4.5688
As P Pd
1 3 1
direct
0.0000 0.0000 0.0000
0.0000 0.0000 0.5000
0.0000 0.5000 0.0000
0.5000 0.0000 0.0000
0.5000 0.5000 0.5000
```



(3)
As3PPt | meta-GGA SCAN | PBEsol geometry

Summary:
The formation energy is 4.8 eV per formula unit. The value obtained for the calculated total energy is -27.2679 eV/atom.

Cell and atoms, written as POSCAR:
```
As3PPt
1.0
4.5653 0.0000 0.0000
0.0000 4.5653 0.0000
0.0000 0.0000 4.5653
As P Pt
3 1 1
direct
0.0000 0.0000 0.5000
0.0000 0.5000 0.0000
0.5000 0.0000 0.0000
0.0000 0.0000 0.0000
0.5000 0.5000 0.5000
```



(4)
As4PPt | meta-GGA SCAN | PBEsol geometry

Summary:
The formation energy is 5.4 eV per formula unit. The value obtained for the calculated total energy is -25.9861 eV/atom.

Cell and atoms, written as POSCAR:
```
As4PPt
1.0
0.0000 3.7850 3.7850
3.7850 0.0000 3.7850
3.7850 3.7850 0.0000
As P Pt
4 1 1
direct
0.1246 0.1246 0.1246
0.1246 0.1246 0.6263
0.1246 0.6263 0.1246
0.6263 0.1246 0.1246
0.5000 0.5000 0.5000
0.7500 0.7500 0.7500
```



(5)
AsPPt2 | meta-GGA SCAN | PBEsol geometry

Summary:
The formation energy is -1.8 eV per formula unit. The energy above the most stable polymorph in this dataset comes out at 0 meV/atom. The value obtained for the calculated total energy is -43.1948 eV/atom.

Cell and atoms, written as POSCAR:
```
AsPPt2
1.0
3.7768 -1.7355 0.0000
3.7768 1.7355 0.0000
-0.2174 0.0000 5.1503
As P Pt
1 1 2
direct
0.0000 0.0000 0.0000
0.2888 0.2888 0.5068
0.5828 0.5828 0.6810
0.7167 0.7167 0.2029
```



(6)
AsPPt2 | meta-GGA SCAN | PBEsol geometry

Summary:
The formation energy is -0.3 eV per formula unit. The energy above the most stable polymorph in this dataset comes out at 370 meV/atom. The value obtained for the calculated total energy is -42.8251 eV/atom.

Cell and atoms, written as POSCAR:
```
AsPPt2
1.0
2.8023 0.0000 0.0000
0.0000 3.4547 0.0000
0.0000 0.0000 6.5551
As P Pt
1 1 2
direct
0.0000 0.0000 0.0000
0.5000 0.0000 0.5000
0.5000 0.5000 0.2485
0.5000 0.5000 0.7515
```



(7)
AsP2Pt | meta-GGA SCAN | PBEsol geometry

Summary:
The formation energy is 1.5 eV per formula unit. The value obtained for the calculated total energy is -27.4156 eV/atom.

Cell and atoms, written as POSCAR:
```
AsP2Pt
1.0
-1.3812 2.4093 4.7359
1.3812 -2.4093 4.7359
1.3812 2.4093 -4.7359
As P Pt
1 2 1
direct
0.0000 0.0000 0.0000
0.2798 0.7798 0.5000
0.7202 0.2202 0.5000
0.5000 0.5000 0.0000
```



(8)
Sn2AsPPt | meta-GGA SCAN | PBEsol geometry

Summary:
The formation energy is 5.2 eV per formula unit. The value obtained for the calculated total energy is -33.4827 eV/atom.

Cell and atoms, written as POSCAR:
```
Sn2AsPPt
1.0
5.1780 0.0000 0.0000
0.0000 5.1780 0.0000
0.0000 0.0000 4.4850
Sn As P Pt
2 1 1 1
direct
0.0000 0.5000 0.0000
0.5000 0.0000 0.0000
0.0000 0.0000 0.0000
0.0000 0.0000 0.5000
0.5000 0.5000 0.5000
```



(9)
RbAsP3 | meta-GGA SCAN | PBEsol geometry

Summary:
The formation energy is 3.3 eV per formula unit. The value obtained for the calculated total energy is -13.7576 eV/atom.

Cell and atoms, written as POSCAR:
```
RbAsP3
1.0
4.8865 0.0000 0.0000
0.0000 4.8865 0.0000
0.0000 0.0000 4.8865
Rb As P
1 1 3
direct
0.0000 0.0000 0.0000
0.5000 0.5000 0.5000
0.0000 0.5000 0.5000
0.5000 0.0000 0.5000
0.5000 0.5000 0.0000
```



(10)
Re2AsP | meta-GGA SCAN | PBEsol geometry

Summary:
The formation energy is 3.4 eV per formula unit. The value obtained for the calculated total energy is -42.3545 eV/atom.

Cell and atoms, written as POSCAR:
```
Re2AsP
1.0
0.0000 3.0873 3.0873
3.0873 0.0000 3.0873
3.0873 3.0873 0.0000
Re As P
2 1 1
direct
0.0000 0.0000 0.0000
0.2500 0.2500 0.2500
0.7500 0.7500 0.7500
0.5000 0.5000 0.5000
```



(11)
ReAsP3 | meta-GGA SCAN | PBEsol geometry

Summary:
The formation energy is 4.2 eV per formula unit. The value obtained for the calculated total energy is -23.6553 eV/atom.

Cell and atoms, written as POSCAR:
```
ReAsP3
1.0
4.5754 0.0000 0.0000
0.0000 4.5754 0.0000
0.0000 0.0000 4.5754
Re As P
1 1 3
direct
0.0000 0.0000 0.0000
0.5000 0.5000 0.5000
0.0000 0.0000 0.5000
0.0000 0.5000 0.0000
0.5000 0.0000 0.0000
```



(12)
ReAsP2 | meta-GGA SCAN | PBEsol geometry

Summary:
The formation energy is 2.0 eV per formula unit. The value obtained for the calculated total energy is -27.5140 eV/atom.

Cell and atoms, written as POSCAR:
```
ReAsP2
1.0
2.5140 -3.5770 0.0000
2.5140 3.5770 0.0000
-2.2736 0.0000 3.4143
Re As P
1 1 2
direct
0.0000 0.0000 0.0000
0.5000 0.5000 0.0000
0.0000 0.5000 0.5000
0.5000 0.0000 0.5000
```